This record from the Alexandria database describes crystalline Ba2SrCd at its relaxed geometry. The functional is PBE.

a = 4.3002 Å, b = 4.3132 Å, c = 10.6268 Å
α = 90.00°, β = 90.00°, γ = 90.00°
Space group Pmmm (No. 47)
Inequivalent atoms, fractional coordinates:
1 Ba 0.0000 0.0000 0.1916 x2
2 Sr 0.5000 0.5000 0.5000 x1
3 Cd 0.5000 0.5000 0.0000 x1

Results
The value obtained for the energy is -1.78 eV per atom. As for the crystal system: orthorhombic. The calculation puts the formation enthalpy at 0 K at -170 meV/atom.